The following is a DFT calculation (PBE) of YCd3Ag4 after structural relaxation.

Lattice parameters (Å, degrees): 9.6545 7.0891 4.8286 90.00 90.00 90.00
Closest atoms and distances in Å follow each position.
Space group Pmma (No. 51)
Inequivalent atoms, fractional coordinates:
Y: 0.0000 0.0000 0.0000  8 Ag 3.05, 2 Cd 3.40
Cd: 0.0000 0.5000 0.0000  8 Ag 2.94
Cd: 0.2500 0.0000 0.4967  8 Ag 3.05-3.06, 2 Y 3.40
Cd: 0.2500 0.5000 0.4950  8 Ag 2.94
Ag: 0.0000 0.2640 0.5000  6 Cd 2.94-3.05, 2 Y 3.05
Ag: 0.2500 0.2638 0.9950  6 Cd 2.94-3.06, 2 Y 3.05

## Properties
The total moment is 0.000 μB per atom. The raw total energy comes out at -43.38 eV/cell. For the density of states at the Fermi level, the calculation gives 4.60 states/eV per cell.

The following is a DFT calculation (PBE) of RuAuSe after structural relaxation.

Lattice parameters (Å, degrees): 2.9798 2.9798 12.5719 90.00 90.00 90.00
Closest atoms and distances in Å follow each position.
Space group I4mm (No. 107)
Inequivalent atoms, fractional coordinates:
Ru: 0.0000 0.0000 0.0000  4 Se 2.49
Au: 0.0000 0.0000 0.6603  4 Ru 2.92, 4 Au 2.98
Se: 0.0000 0.0000 0.3937  4 Ru 2.49

## Properties
The total moment is 0.000 μB per atom. The raw total energy comes out at -31.44 eV/cell. The value obtained for the offset from the most stable computed form is 0.00 kJ/mol of atoms. For the density of states at the Fermi level, the calculation gives 3.54 states/eV per cell.